Here is CsZnGa after structural relaxation from OQMD via LeMat-Bulk. Energies are from PBE.

The value obtained for the volume is 552.4 Å³/cell. The value obtained for the uncorrected energy is -1.017 eV/atom.

It has space group F-43m (No. 216), with a = 8.205 Å, b = 8.205 Å, c = 8.205 Å, α = 90.00°, β = 90.00° and γ = 90.00°. The distinct sites, in fractional coordinates, are Cs at (0.000, 0.000, 0.000), Zn at (0.250, 0.250, 0.250) and Ga at (0.250, 0.250, 0.750).